# Bi3POs, relaxed, DFT GGA-PBE
data_Bi3POs
_cell_length_a 5.277
_cell_length_b 5.277
_cell_length_c 5.277
_cell_angle_alpha 90.00
_cell_angle_beta 90.00
_cell_angle_gamma 90.00
_symmetry_space_group_name_H-M 'P m -3 m'
_symmetry_Int_Tables_number 221
_symmetry_space_group_name_Hall '-P 4 2 3'
loop_
_atom_site_label
_atom_site_type_symbol
_atom_site_fract_x
_atom_site_fract_y
_atom_site_fract_z
Bi1 Bi 0.000 0.000 0.500
P1 P 0.500 0.500 0.500
Os1 Os 0.000 0.000 0.000
# uncorrected energy: -4.69 eV/atom
# E_form: 968 meV/atom
# ΔE to the lowest computed polymorph: 0.000 eV per formula unit

---

# Ba2Li2Te, relaxed, DFT GGA-PBE
data_Ba2Li2Te
_cell_length_a 7.962
_cell_length_b 7.962
_cell_length_c 5.283
_cell_angle_alpha 90.00
_cell_angle_beta 90.00
_cell_angle_gamma 90.00
_symmetry_space_group_name_H-M 'P 4/m b m'
_symmetry_Int_Tables_number 127
_symmetry_space_group_name_Hall '-P 4 2ab'
loop_
_atom_site_label
_atom_site_type_symbol
_atom_site_fract_x
_atom_site_fract_y
_atom_site_fract_z
Ba1 Ba 0.183 0.317 0.000
Li1 Li 0.125 0.625 0.500
Te1 Te 0.000 0.000 0.500
# uncorrected energy: -2.63 eV/atom
# ΔE to the lowest computed polymorph: 0.511 eV per formula unit
# energy relative to the elements, uncorrected: -465.7 meV per atom

---

# TaMnSb2, relaxed, DFT GGA-PBE
data_TaMnSb2
_cell_length_a 3.581
_cell_length_b 3.581
_cell_length_c 6.286
_cell_angle_alpha 90.00
_cell_angle_beta 90.00
_cell_angle_gamma 90.00
_symmetry_space_group_name_H-M 'P 4 m m'
_symmetry_Int_Tables_number 99
loop_
_symmetry_equiv_pos_as_xyz
'x,y,z'
'-y,x,z'
'-x,-y,z'
'y,-x,z'
'-x,y,z'
'y,x,z'
'x,-y,z'
'-y,-x,z'
loop_
_atom_site_label
_atom_site_type_symbol
_atom_site_fract_x
_atom_site_fract_y
_atom_site_fract_z
Ta1 Ta 0.000 0.000 0.000
Mn1 Mn 0.500 0.500 0.262
Sb1 Sb 0.000 0.000 0.449
Sb2 Sb 0.500 0.500 0.805
# uncorrected energy: -7.22 eV/atom
# ΔE to the lowest computed polymorph: 0.218 eV per formula unit
# energy relative to the elements, uncorrected: 99.2 meV per atom

---

# AlSi2Os, relaxed, DFT GGA-PBE
data_AlSi2Os
_cell_length_a 3.876
_cell_length_b 3.876
_cell_length_c 3.631
_cell_angle_alpha 90.00
_cell_angle_beta 90.00
_cell_angle_gamma 90.00
_symmetry_space_group_name_H-M 'P 4/m m m'
_symmetry_Int_Tables_number 123
_symmetry_space_group_name_Hall '-P 4 2'
loop_
_atom_site_label
_atom_site_type_symbol
_atom_site_fract_x
_atom_site_fract_y
_atom_site_fract_z
Al1 Al 0.000 0.000 0.000
Si1 Si 0.000 0.500 0.500
Os1 Os 0.500 0.500 0.000
# uncorrected energy: -6.30 eV/atom
# energy relative to the elements, uncorrected: 158.5 meV per atom

---

# Ba2NaAs2, relaxed, DFT GGA-PBE
data_Ba2NaAs2
_cell_length_a 9.277
_cell_length_b 9.277
_cell_length_c 3.996
_cell_angle_alpha 90.00
_cell_angle_beta 90.00
_cell_angle_gamma 90.00
_symmetry_space_group_name_H-M 'P 4/m b m'
_symmetry_Int_Tables_number 127
_symmetry_space_group_name_Hall '-P 4 2ab'
loop_
_atom_site_label
_atom_site_type_symbol
_atom_site_fract_x
_atom_site_fract_y
_atom_site_fract_z
Ba1 Ba 0.136 0.364 0.000
Na1 Na 0.000 0.000 0.500
As1 As 0.166 0.666 0.500
# uncorrected energy: -3.66 eV/atom
# E_form: -763 meV/atom
# ΔE to the lowest computed polymorph: 0.000 eV per formula unit

---

D(E_F) across the listed records, respectively: 4.85, 1.49, 2.28, 2.82, 1.56 states/eV/f.u..